Record 1
Compound: SrH
Source: the Alexandria database
Functional: PBE
Structure: relaxed

The magnetic moment comes out at 0.0 μB per cell. For the uncorrected energy, the calculation gives -2.818 eV/atom.

It has space group P2_1/m (No. 11), with a = 3.638 Å, b = 3.663 Å, c = 6.806 Å, α = 90.00°, β = 90.04° and γ = 90.00°. Symmetry generates all atoms from Sr at (0.249, 0.250, 0.259) and H at (0.251, 0.250, 0.632).

Record 2
Compound: Mo4AsPb
Source: the Alexandria database
Functional: PBE
Structure: relaxed

The magnetic moment comes out at 0.0 μB per cell. For the uncorrected energy, the calculation gives -8.043 eV/atom. The calculation puts the energy of formation at 330 kJ/mol of formula units.

It has space group F-43m (No. 216), with a = 7.592 Å, b = 7.592 Å, c = 7.592 Å, α = 90.00°, β = 90.00° and γ = 90.00°. Symmetry generates all atoms from Mo at (0.124, 0.124, 0.376), As at (0.250, 0.250, 0.750) and Pb at (0.000, 0.000, 0.000).

Record 3
Compound: PHPd4
Source: the Alexandria database
Functional: PBE
Structure: relaxed

The magnetic moment comes out at 0.0 μB per cell. For the uncorrected energy, the calculation gives -5.260 eV/atom.

It has space group C2/c (No. 15), with a = 7.330 Å, b = 11.370 Å, c = 5.222 Å, α = 90.00°, β = 132.89° and γ = 90.00°. Symmetry generates all atoms from P at (0.000, 0.127, 0.250), H at (0.000, 0.387, 0.750), Pd at (0.152, 0.297, 0.639) and Pd at (0.231, 0.047, 0.814).

Record 4
Compound: NaAc3Nd2Te6
Source: the Alexandria database
Functional: PBE
Structure: relaxed

The magnetic moment comes out at 0.0 μB per cell. For the uncorrected energy, the calculation gives -4.942 eV/atom. The value obtained for the energy relative to the elements, uncorrected is -1.44 eV/atom.

It has space group C2/m (No. 12), with a = 20.143 Å, b = 4.642 Å, c = 9.231 Å, α = 90.00°, β = 102.26° and γ = 90.00°. Symmetry generates all atoms from Na at (0.000, 0.000, 0.000), Ac at (0.000, 0.000, 0.500), Ac at (0.164, 0.500, 0.833), Nd at (0.171, 0.500, 0.346), Te at (0.006, 0.500, 0.243), Te at (0.165, 0.000, 0.095) and Te at (0.168, 0.000, 0.580).

Record 5
Compound: Ce3BiP
Source: the Alexandria database
Functional: PBE
Structure: relaxed

The magnetic moment comes out at 11.5 μB per cell. For the uncorrected energy, the calculation gives -6.177 eV/atom. The calculation puts the energy of formation at -366 kJ/mol of formula units.

It has space group Cmmm (No. 65), with a = 7.003 Å, b = 15.696 Å, c = 5.296 Å, α = 90.00°, β = 90.00° and γ = 90.00°. Symmetry generates all atoms from Ce at (0.000, 0.146, 0.000), Ce at (0.199, 0.500, 0.500), Ce at (0.250, 0.250, 0.500), Bi at (0.000, 0.365, 0.000) and P at (0.000, 0.112, 0.500).

Record 6
Compound: YMg2GeN4
Source: the Alexandria database
Functional: PBE
Structure: relaxed

The magnetic moment comes out at 2.1 μB per cell. For the uncorrected energy, the calculation gives -6.589 eV/atom. The value obtained for the energy relative to the elements, uncorrected is -0.64 eV/atom.

It has space group Pmn2_1 (No. 31), with a = 7.174 Å, b = 5.962 Å, c = 5.176 Å, α = 90.00°, β = 90.00° and γ = 90.00°. Symmetry generates all atoms from Y at (0.000, 0.158, 0.000), Mg at (0.247, 0.335, 0.513), Ge at (0.000, 0.820, 0.531), N at (0.000, 0.136, 0.458), N at (0.000, 0.796, 0.893) and N at (0.219, 0.676, 0.424).